Entry 1:
# PrZn

PrZn after structural relaxation (PBE, OQMD via LeMat-Bulk).

```
24
Lattice="17.332 0.001 0.000 0.000 7.274 0.000 0.000 0.000 4.759" Properties=species:S:1:pos:R:3 pbc="T T T"
Zn 13.196 3.757 0.000
Zn 4.533 1.696 0.000
Zn 4.479 4.369 0.000
Zn 15.738 4.406 0.000
Zn 3.224 4.371 2.379
Zn 13.144 1.084 0.000
Zn 11.891 1.087 2.379
Zn 11.836 3.760 2.379
Zn 3.173 1.697 2.379
Zn 7.078 1.052 0.000
Zn 9.293 4.404 2.379
Zn 0.630 1.049 2.379
Pr 10.143 2.536 0.000
Pr 14.890 2.536 2.379
Pr 8.926 0.293 2.379
Pr 6.227 2.921 2.379
Pr 5.309 6.724 2.379
Pr 13.970 6.008 2.379
Pr 11.061 6.006 0.000
Pr 0.257 5.160 2.379
Pr 7.444 5.163 0.000
Pr 1.479 2.919 0.000
Pr 16.112 0.295 0.000
Pr 2.399 6.721 0.000
```

Summary:
VASP energy = -6.53 eV per formula unit
M_tot = 0.0 μB/f.u.
space group = Pbcm, No. 57

---

Entry 2:
# PrZrZn

PrZrZn after structural relaxation (PBE, OQMD via LeMat-Bulk).

```
3
Lattice="-4.303 -2.209 0.150 -4.032 2.484 -0.999 -2.421 -0.864 -4.100" Properties=species:S:1:pos:R:3 pbc="T T T"
Pr -5.378 -0.294 -2.475
Zr 0.000 0.000 0.000
Zn -2.689 -0.147 -1.237
```

Summary:
VASP energy = -13.83 eV per formula unit
M_tot = 0.6 μB/f.u.
space group = F-43m, No. 216

---

Entry 3:
# PrZrZn

PrZrZn after structural relaxation (PBE, OQMD via LeMat-Bulk).

```
3
Lattice="-1.369 -2.891 3.738 -1.099 1.980 4.367 -4.661 0.055 1.573" Properties=species:S:1:pos:R:3 pbc="T T T"
Zr -5.346 -0.642 7.259
Zn -1.782 -0.214 2.420
Pr 0.000 0.000 0.000
```

Summary:
VASP energy = -11.85 eV per formula unit
M_tot = 1.1 μB/f.u.
space group = F-43m, No. 216

---

Entry 4:
# PrZr2

PrZr2 after structural relaxation (PBE, OQMD via LeMat-Bulk).

```
24
Lattice="2.124 -14.357 3.319 8.497 -2.492 1.257 -0.439 1.146 5.237" Properties=species:S:1:pos:R:3 pbc="T T T"
Pr 8.500 -2.615 1.284
Pr 5.283 -6.099 4.539
Pr 8.601 -13.868 3.754
Pr 3.260 -2.996 3.691
Pr 1.877 -11.823 5.506
Pr 4.029 -11.337 2.818
Pr 3.510 -5.653 1.531
Pr 1.358 -6.137 4.219
Zr 1.605 -0.306 2.964
Zr 6.555 -8.957 5.271
Zr 1.657 -2.814 0.754
Zr 6.915 -14.596 6.535
Zr 5.462 -14.421 3.613
Zr 7.328 -11.008 3.022
Zr 5.535 -11.930 5.836
Zr 6.556 -3.015 3.971
Zr 8.422 -5.546 4.681
Zr 8.544 -11.427 5.978
Zr 5.204 -2.596 1.004
Zr 2.003 -8.735 2.079
Zr 3.382 -8.740 4.958
Zr 8.348 -8.037 2.458
Zr 5.339 -8.539 2.315
Zr 6.969 -5.372 1.759
```

Summary:
VASP energy = -21.43 eV per formula unit
M_tot = 0.0 μB/f.u.
space group = P2_1/m, No. 11